1.
This record from Alexandria describes a relaxed structure of Ho2Th4H. The functional is PBE-GGA.

```
7
Lattice="4.920 0.000 0.000 0.000 4.920 0.000 2.460 2.460 8.539" Properties=species:S:1:pos:R:3 pbc="T T T"
Th 0.000 2.460 0.000
Th 2.460 0.000 0.000
Th 2.460 2.460 5.896
Th 4.920 4.920 2.643
Ho 4.920 4.920 6.098
Ho 2.460 2.460 2.440
H 0.000 0.000 0.000
```



2.
This record from Alexandria describes a relaxed structure of LaTl4Pt. The functional is PBE-GGA.

```
6
Lattice="0.717 2.803 5.468 -3.017 5.267 1.194 -4.645 0.046 4.085" Properties=species:S:1:pos:R:3 pbc="T T T"
Tl -2.242 4.446 6.769
Tl -4.115 5.682 4.625
Tl -2.602 3.040 4.025
Tl -4.932 3.063 6.075
Pt 0.000 0.000 0.000
La -5.209 6.087 8.060
```



no.,energy (eV/atom)
1,-5.83
2,-3.26